18
Lattice="-2.686 -2.517 4.834 1.897 -3.502 -4.588 8.843 -0.979 4.403" Properties=species:S:1:pos:R:3 comment="PBE with a Hubbard U Tl2CrF6, optimized geometry" volume_a3_per_fu=158.7 mass_density_g_cm3=6.02 total_energy_ev_per_cell=-86.58 magnetic_moment_mub_per_fu=2.00 pbc="T T T"
Tl 5.178 -0.573 2.578
Tl 0.757 -0.084 0.377
Tl 8.034 -4.022 2.369
Tl 2.085 -3.204 3.308
Cr 2.661 -3.427 -0.306
Cr 5.555 -3.588 5.036
F 1.844 -4.688 -1.416
F 5.237 -3.622 3.196
F 4.080 -4.707 5.280
F 2.184 -2.093 -1.522
F 1.026 -3.178 0.562
F 4.420 -2.112 5.174
F 6.646 -5.093 4.858
F 4.264 -3.675 -1.232
F 3.077 -4.787 0.904
F 6.995 -2.434 4.750
F 5.808 -3.546 6.885
F 3.426 -2.128 0.795